Zr3TaAl: relaxed, PBE.

Lattice parameters (Å, degrees): 5.101 5.101 5.101 90.00 90.00 90.00
Space group Pm-3m (No. 221)
Asymmetric unit:
Zr 0.000 0.000 0.500 (multiplicity 3)
Ta 0.000 0.000 0.000 (multiplicity 1)
Al 0.500 0.500 0.500 (multiplicity 1)

## Properties
E_form = 457 kJ/mol of formula units

***

CrGa2B: relaxed, PBE.

Lattice parameters (Å, degrees): 5.890 5.890 5.890 90.00 90.00 90.00
Space group Fm-3m (No. 225)
Asymmetric unit:
Cr 0.000 0.000 0.000 (multiplicity 4)
Ga 0.250 0.250 0.250 (multiplicity 8)
B 0.000 0.000 0.500 (multiplicity 4)

## Properties
E_form = 402 kJ/mol of formula units